# 1
Below is a relaxed PrB12 crystal, with properties calculated at the PBE level.

**Volume**: 8.44 A^3/atom
**Density of states at the Fermi level**: 4.64 states/eV/f.u.
**ρ**: 4.1 g/cm³
**ΔE_f**: -0.18 eV/atom

Cell: 5.3729 5.3729 5.3729 Å, 60.00 60.00 60.00°
Fractional coordinates of all 13 atoms:
Pr1 0.0000 0.0000 0.0000
B1 0.5000 0.1636 0.5000
B2 0.5000 0.8364 0.5000
B3 0.8364 0.5000 0.5000
B4 0.5000 0.8364 0.1636
B5 0.1636 0.5000 0.8364
B6 0.8364 0.5000 0.1636
B7 0.5000 0.5000 0.8364
B8 0.1636 0.8364 0.5000
B9 0.5000 0.1636 0.8364
B10 0.5000 0.5000 0.1636
B11 0.8364 0.1636 0.5000
B12 0.1636 0.5000 0.5000



# 2
Below is a relaxed Mn2Os4Ru3 crystal, with properties calculated at the PBE level.

**Volume**: 13.95 A^3/atom
**Density of states at the Fermi level**: 9.02 states/eV/f.u.
**ρ**: 15.5 g/cm³
**ΔE_f**: 0.25 eV/atom

Cell: 4.6019 7.6307 7.6307 Å, 71.60 82.61 82.61°
Site moments in Bohr magnetons follow the coordinates.
Fractional coordinates of all 18 atoms:
Mn1 0.2104 0.7330 0.4814  2.04
Mn2 0.2895 0.5186 0.2670  2.04
Mn3 0.7896 0.2670 0.5186  2.04
Mn4 0.7104 0.4814 0.7330  2.04
Os1 0.5224 0.0528 0.8241  -0.08
Os2 0.9776 0.1759 0.9472  -0.08
Os3 0.4776 0.9472 0.1759  -0.08
Os4 0.0224 0.8241 0.0528  -0.08
Os5 0.6121 0.8247 0.6232  -0.15
Os6 0.8879 0.3768 0.1753  -0.15
Os7 0.3879 0.1753 0.3768  -0.15
Os8 0.1121 0.6232 0.8247  -0.15
Ru1 0.0825 0.9852 0.6741  -0.13
Ru2 0.4175 0.3259 0.0148  -0.13
Ru3 0.9175 0.0148 0.3259  -0.13
Ru4 0.5825 0.6741 0.9852  -0.13
Ru5 0.2500 0.3755 0.6245  -0.06
Ru6 0.7500 0.6245 0.3755  -0.06